# 1
Pr5Sm2YHo PBE-GGA relaxed; calculated volume = 317.6 Å³/f.u.; electronic total energy = -4.648 eV per atom; formation energy from the elements = 282 meV/atom
1.0
8.7009 0.0000 0.0000
0.0000 8.7009 0.0000
-4.3505 -4.3505 8.3898
Ho Pr Sm Y
2 10 4 2
direct
0.2500 0.7500 0.5000 Ho
0.7500 0.2500 0.5000 Ho
0.0000 0.0000 0.0000 Pr
0.1443 0.0720 0.7163 Pr
0.0720 0.5720 0.7163 Pr
0.3557 0.8557 0.2837 Pr
0.5720 0.6443 0.7163 Pr
0.4280 0.3557 0.2837 Pr
0.8557 0.9280 0.2837 Pr
0.6443 0.1443 0.7163 Pr
0.5000 0.5000 0.0000 Pr
0.9280 0.4280 0.2837 Pr
0.3791 0.8791 0.0000 Sm
0.6209 0.1209 0.0000 Sm
0.8791 0.6209 0.0000 Sm
0.1209 0.3791 0.0000 Sm
0.7500 0.7500 0.5000 Y
0.2500 0.2500 0.5000 Y

---

# 2
DyYRh PBE-GGA relaxed; calculated volume = 74.5 Å³/f.u.; electronic total energy = -6.776 eV per atom; formation energy from the elements = -636 meV/atom
1.0
-0.3204 -0.3430 3.7904
5.4083 -6.0092 -0.0867
10.6953 9.6002 1.7727
Dy Rh Y
6 6 6
direct
0.5000 0.4392 0.1175 Dy
0.5000 0.5608 0.8825 Dy
0.5000 0.4392 0.3825 Dy
0.5000 0.5608 0.6175 Dy
0.5000 0.1983 0.7500 Dy
0.5000 0.8017 0.2500 Dy
0.5000 0.9275 0.8993 Rh
0.5000 0.0725 0.1007 Rh
0.0000 0.4590 0.7500 Rh
0.5000 0.9275 0.6007 Rh
0.5000 0.0725 0.3993 Rh
0.0000 0.5410 0.2500 Rh
0.0000 0.1897 0.5424 Y
0.0000 0.8103 0.0424 Y
0.0000 0.8454 0.7500 Y
0.0000 0.1897 0.9576 Y
0.0000 0.1546 0.2500 Y
0.0000 0.8103 0.4576 Y

---

# 3
YRhSe3 PBE-GGA relaxed; energy relative to the elements, uncorrected = 130 kJ/mol of formula units; calculated volume = 158.3 Å³/f.u.; electronic total energy = -4.584 eV per atom
1.0
-1.3793 4.9704 1.6313
-3.5782 0.3343 -4.0439
-3.8161 -2.1100 3.2022
Se Rh Y
3 1 1
direct
0.0000 0.0000 0.5000 Se
0.0000 0.5000 0.0000 Se
0.5000 0.0000 0.0000 Se
0.5000 0.5000 0.5000 Rh
0.0000 0.0000 0.0000 Y

---

# 4
LiSnBr PBE-GGA relaxed; energy relative to the elements, uncorrected = -236 kJ/mol of formula units; calculated volume = 74.1 Å³/f.u.; electronic total energy = -3.344 eV per atom
1.0
-2.0879 -1.2704 -2.7726
-0.5205 -1.2631 3.4343
-24.9867 27.3658 6.2775
Br Sn Li
6 6 6
direct
0.3333 0.6667 0.5116 Br
0.3333 0.6667 0.9338 Br
0.6667 0.3333 0.1783 Br
0.0000 0.0000 0.8450 Br
0.0000 0.0000 0.2671 Br
0.6667 0.3333 0.6005 Br
0.3333 0.6667 0.6754 Sn
0.0000 0.0000 0.4081 Sn
0.3333 0.6667 0.0748 Sn
0.6667 0.3333 0.3421 Sn
0.0000 0.0000 0.0087 Sn
0.6667 0.3333 0.7414 Sn
0.0000 0.0000 0.5656 Li
0.6667 0.3333 0.8989 Li
0.6667 0.3333 0.4768 Li
0.3333 0.6667 0.8101 Li
0.3333 0.6667 0.2322 Li
0.0000 0.0000 0.1434 Li

---

# 5
ScRuPt2 PBE-GGA relaxed; calculated volume = 63.6 Å³/f.u.; electronic total energy = -7.494 eV per atom; formation energy from the elements = -572 meV/atom
1.0
-0.3996 0.1495 3.9841
-2.3416 -1.6030 -0.1747
0.7761 -6.2138 0.3110
Ru Pt Sc
1 2 1
direct
0.5000 0.2500 0.2500 Ru
0.0000 0.5101 0.4897 Pt
0.0000 0.9899 0.0103 Pt
0.5000 0.7500 0.7500 Sc

---

# 6
Ba2U2Se7 PBE-GGA relaxed; energy relative to the elements, uncorrected = -1376 kJ/mol of formula units; calculated volume = 348.8 Å³/f.u.; electronic total energy = -5.916 eV per atom
1.0
6.9052 -0.0035 -0.2956
0.0025 7.3815 0.0040
-0.7253 -0.0022 6.8734
Se U Ba
7 2 2
direct
0.0002 0.7667 0.4997 Se
0.4998 0.2197 0.5002 Se
0.5003 0.7667 0.9998 Se
0.4997 0.2333 0.0002 Se
0.0000 0.0000 0.0000 Se
0.9998 0.2333 0.5003 Se
0.5002 0.7803 0.4998 Se
0.2743 0.0000 0.7257 U
0.7257 0.0000 0.2743 U
0.7615 0.5000 0.7615 Ba
0.2385 0.5000 0.2385 Ba

---

# 7
YCuBi2 PBE-GGA relaxed; calculated volume = 105.5 Å³/f.u.; electronic total energy = -4.814 eV per atom; formation energy from the elements = -233 meV/atom
1.0
8.0708 0.0000 0.0000
0.0000 8.0708 0.0000
4.0354 4.0354 3.2402
Cu Bi Y
2 4 2
direct
0.2500 0.7500 0.5000 Cu
0.5000 0.5000 0.0000 Cu
0.3750 0.4268 0.7500 Bi
0.5732 0.1250 0.2500 Bi
0.1768 0.6250 0.2500 Bi
0.8750 0.8232 0.7500 Bi
0.7500 0.2500 0.5000 Y
0.0000 0.0000 0.0000 Y

---

# 8
Ba2SrNbIr PBE-GGA relaxed; calculated volume = 188.4 Å³/f.u.; electronic total energy = -2.918 eV per atom; formation energy from the elements = 1974 meV/atom
1.0
6.1723 0.0000 0.0000
0.0000 4.9464 0.0000
0.0000 0.0000 6.1723
Ba Sr Nb Ir
2 1 1 1
direct
0.5000 0.0000 0.0000 Ba
0.0000 0.0000 0.5000 Ba
0.0000 0.0000 0.0000 Sr
0.0000 0.5000 0.0000 Nb
0.5000 0.5000 0.5000 Ir

---

# 9
Zn5Te PBE-GGA relaxed; energy relative to the elements, uncorrected = 92 kJ/mol of formula units; calculated volume = 112.9 Å³/f.u.; electronic total energy = -1.426 eV per atom
1.0
2.9791 0.0000 0.0000
0.0000 2.9791 0.0000
0.0000 0.0000 12.7267
Te Zn
1 5
direct
0.5000 0.5000 0.0000 Te
0.0000 0.0000 0.7791 Zn
0.0000 0.0000 0.2209 Zn
0.5000 0.5000 0.6403 Zn
0.5000 0.5000 0.3597 Zn
0.0000 0.0000 0.5000 Zn

---

# 10
Ag2SbAu9 PBE-GGA relaxed; energy relative to the elements, uncorrected = 2 kJ/mol of formula units; calculated volume = 223.6 Å³/f.u.; electronic total energy = -3.275 eV per atom
1.0
4.2498 0.0000 0.0000
0.0000 4.2498 0.0000
0.0000 0.0000 12.3781
Au Ag Sb
9 2 1
direct
0.5000 0.0000 0.5000 Au
0.0000 0.5000 0.5000 Au
0.5000 0.0000 0.8247 Au
0.5000 0.5000 0.0000 Au
0.0000 0.5000 0.8247 Au
0.5000 0.0000 0.1753 Au
0.5000 0.5000 0.6619 Au
0.5000 0.5000 0.3381 Au
0.0000 0.5000 0.1753 Au
0.0000 0.0000 0.3387 Ag
0.0000 0.0000 0.6613 Ag
0.0000 0.0000 0.0000 Sb

---

# 11
V4Ru4Rh5 PBE-GGA relaxed; calculated volume = 180.1 Å³/f.u.; electronic total energy = -8.731 eV per atom; formation energy from the elements = -244 meV/atom
1.0
3.7098 0.0000 0.9432
1.8549 6.8586 0.4716
0.1649 0.0000 7.1187
Ru V Rh
4 4 5
direct
0.9131 0.4747 0.6992 Ru
0.6122 0.3008 0.4747 Ru
0.0869 0.5253 0.3008 Ru
0.3878 0.6992 0.5253 Ru
0.8623 0.9055 0.3698 V
0.2322 0.6302 0.9055 V
0.7678 0.3698 0.0945 V
0.1377 0.0945 0.6302 V
0.3079 0.1431 0.2411 Rh
0.5490 0.7589 0.1431 Rh
0.6921 0.8569 0.7589 Rh
0.0000 0.0000 0.0000 Rh
0.4510 0.2411 0.8569 Rh

---

# 12
LaIr2Ru PBE-GGA relaxed; calculated volume = 71.4 Å³/f.u.; electronic total energy = -7.873 eV per atom; formation energy from the elements = 108 meV/atom
1.0
5.0661 -0.0038 -0.0341
1.6554 4.7880 0.0341
-3.3432 -2.4167 2.9409
Ir La Ru
2 1 1
direct
0.5001 0.5001 0.0000 Ir
0.9999 0.9999 0.0000 Ir
0.7500 0.2500 0.5000 La
0.2500 0.7500 0.5000 Ru